# CaCu2Mo, optimized geometry, DFT GGA-PBE
data_CaCu2Mo
_chemical_formula_sum 'Ca3 Cu6 Mo3'
_cell_length_a 2.9536
_cell_length_b 2.9536
_cell_length_c 26.8312
_cell_angle_alpha 90.00
_cell_angle_beta 90.00
_cell_angle_gamma 120.00
_space_group_name_H-M_alt 'R 3 m'
_space_group_IT_number 160
_space_group_name_Hall 'R 3 -2"'
loop_
_atom_site_label
_atom_site_type_symbol
_atom_site_fract_x
_atom_site_fract_y
_atom_site_fract_z
Ca1 Ca 0.0000 0.0000 0.0000
Cu1 Cu 0.0000 0.0000 0.4931
Cu2 Cu 0.0000 0.0000 0.7574
Mo1 Mo 0.0000 0.0000 0.2363
# total moment = 0.00 Bohr magnetons per cell
# energy above the most stable polymorph in this dataset = 0.302 eV/atom
# formation enthalpy at 0 K = 636 meV per atom
# DFT total energy = -55.44 eV/cell
# V = 16.893 Å³ per atom